# 1
VASP calculation (PBE-GGA) on Pm3Dy2ErSe6 after structural relaxation.

Output
The total magnetic moment is 0.0 μB per formula unit.

a b c (Å): 9.267 9.267 8.340
angles (deg): 104.17 104.17 25.53
Element x y z (fractional)
Pm 0.000 0.000 0.000
Pm 0.332 0.332 0.667
Pm 0.668 0.668 0.333
Dy 0.333 0.333 0.166
Dy 0.667 0.667 0.834
Er 0.000 0.000 0.500
Se 0.163 0.163 0.589
Se 0.169 0.169 0.077
Se 0.498 0.498 0.259
Se 0.502 0.502 0.741
Se 0.831 0.831 0.923
Se 0.837 0.837 0.411

=====

# 2
VASP calculation (PBE-GGA) on PmDy3Er3Se8 after structural relaxation.

Output
The total magnetic moment is 0.0 μB per formula unit.

a b c (Å): 8.101 8.101 8.101
angles (deg): 60.00 60.00 60.00
Element x y z (fractional)
Pm 0.000 0.000 0.000
Dy 0.000 0.000 0.500
Dy 0.000 0.500 0.000
Dy 0.500 0.000 0.000
Er 0.000 0.500 0.500
Er 0.500 0.000 0.500
Er 0.500 0.500 0.000
Se 0.251 0.251 0.251
Se 0.259 0.259 0.738
Se 0.259 0.738 0.259
Se 0.262 0.741 0.741
Se 0.738 0.259 0.259
Se 0.741 0.262 0.741
Se 0.741 0.741 0.262
Se 0.749 0.749 0.749

=====

Computed N(E_F), in the same sequence as the records: 5.32, 5.84 states/eV/f.u..
Computed formation energy without anion corrections, in the same sequence as the records: -1.787, -1.813 eV per atom.